12
Lattice="-0.126 -4.254 -2.186 3.956 -1.314 2.335 -3.688 -2.409 4.907" Properties=species:S:1:pos:R:3 comment="PBE+U CoNi2AgF8, optimized geometry" dft_energy_ev_per_atom=-4.213 dos_ef_per_ev_atom=0.272 pbc="T T T"
F -2.165 -5.545 2.580
F -0.087 -4.186 -0.189
F 1.156 -1.695 0.038
F 2.307 -2.431 2.475
F 0.767 -4.984 2.563
F -1.014 -6.282 5.017
F -0.625 -2.993 2.493
F 0.229 -3.791 5.244
Ni 1.028 -3.364 1.255
Ni -0.886 -4.613 3.801
Co 0.000 0.000 0.000
Ag -1.844 -1.205 2.453